Below is crystalline Np2Be4AlGe3 at its relaxed geometry, with properties calculated at the PBE level.

Unit cell a=3.955 b=3.955 c=9.753 alpha=90.00 beta=90.00 gamma=90.00
Atoms (fractional coordinates):
Np: 0.000 0.500 0.247
Np: 0.500 0.000 0.753
Be: 0.000 0.000 0.000
Be: 0.000 0.500 0.639
Be: 0.500 0.000 0.361
Be: 0.500 0.500 0.000
Al: 0.000 0.000 0.500
Ge: 0.000 0.500 0.870
Ge: 0.500 0.000 0.130
Ge: 0.500 0.500 0.500

Summary:
The total magnetic moment is 0.846 μB/atom. The space-group type is P-4m2 (115). The calculation puts the energy relative to the elements at -0.12 eV/atom.

Below is crystalline Ta2ReHW at its relaxed geometry, with properties calculated at the PBE level.

Unit cell a=4.485 b=4.485 c=3.483 alpha=90.00 beta=90.00 gamma=90.00
Atoms (fractional coordinates):
Ta: 0.000 0.500 0.000
Ta: 0.500 0.000 0.000
Re: 0.000 0.000 0.500
H: 0.000 0.000 0.000
W: 0.500 0.500 0.500

Summary:
The total magnetic moment is 0.000 μB/atom. The energy above the most stable polymorph in this dataset is 6 meV/atom. The space-group type is P4/mmm (123).

Below is crystalline SmHoErTm3 at its relaxed geometry, with properties calculated at the PBE level.

Unit cell a=9.348 b=9.348 c=11.397 alpha=90.00 beta=90.00 gamma=158.18
Atoms (fractional coordinates):
Sm: 0.056 0.944 0.750
Sm: 0.944 0.056 0.250
Ho: 0.500 0.500 0.000
Ho: 0.500 0.500 0.500
Er: 0.277 0.723 0.250
Er: 0.723 0.277 0.750
Tm: 0.167 0.833 0.001
Tm: 0.167 0.833 0.499
Tm: 0.387 0.613 0.750
Tm: 0.613 0.387 0.250
Tm: 0.833 0.167 0.501
Tm: 0.833 0.167 0.999

Summary:
The total magnetic moment is 0.000 μB/atom. The space-group type is Cmcm (63). The calculation puts the energy relative to the elements at 0.01 eV/atom.

Below is crystalline K2SmTiS4 at its relaxed geometry, with properties calculated at the PBE level.

Unit cell a=7.257 b=7.257 c=9.349 alpha=90.00 beta=90.00 gamma=90.00
Atoms (fractional coordinates):
K: 0.000 0.000 0.000
K: 0.000 0.500 0.250
K: 0.500 0.000 0.750
K: 0.500 0.500 0.500
Sm: 0.000 0.500 0.750
Sm: 0.500 0.000 0.250
Ti: 0.000 0.000 0.500
Ti: 0.500 0.500 0.000
S: 0.178 0.234 0.609
S: 0.234 0.822 0.391
S: 0.266 0.678 0.891
S: 0.322 0.266 0.109
S: 0.678 0.734 0.109
S: 0.734 0.322 0.891
S: 0.766 0.178 0.391
S: 0.822 0.766 0.609

Summary:
The total magnetic moment is 0.125 μB/atom. For the total energy, the calculation gives -5.315 eV per atom. The space-group type is I-4 (82).

Below is crystalline Cr2RhBr at its relaxed geometry, with properties calculated at the PBE level.

Unit cell a=6.051 b=6.051 c=6.051 alpha=90.00 beta=90.00 gamma=90.00
Atoms (fractional coordinates):
Cr: 0.250 0.250 0.250
Cr: 0.250 0.250 0.750
Cr: 0.250 0.750 0.250
Cr: 0.250 0.750 0.750
Cr: 0.750 0.250 0.250
Cr: 0.750 0.250 0.750
Cr: 0.750 0.750 0.250
Cr: 0.750 0.750 0.750
Rh: 0.000 0.000 0.000
Rh: 0.000 0.500 0.500
Rh: 0.500 0.000 0.500
Rh: 0.500 0.500 0.000
Br: 0.000 0.000 0.500
Br: 0.000 0.500 0.000
Br: 0.500 0.000 0.000
Br: 0.500 0.500 0.500

Summary:
The total magnetic moment is 0.090 μB/atom. The energy above the most stable polymorph in this dataset is 487 meV/atom. The space-group type is Fm-3m (225).

Below is crystalline USnS2N at its relaxed geometry, with properties calculated at the PBE level.

Unit cell a=3.835 b=3.835 c=13.584 alpha=90.00 beta=90.00 gamma=90.00
Atoms (fractional coordinates):
U: 0.250 0.250 0.088
U: 0.750 0.750 0.912
Sn: 0.250 0.250 0.619
Sn: 0.750 0.750 0.381
S: 0.250 0.250 0.390
S: 0.250 0.250 0.816
S: 0.750 0.750 0.184
S: 0.750 0.750 0.610
N: 0.250 0.750 0.000
N: 0.750 0.250 0.000

Summary:
The total magnetic moment is 0.271 μB/atom. For the total energy, the calculation gives -7.373 eV per atom. The space-group type is P4/nmm (129).